! RbS2I2 | Alexandria | SCAN | single point on PBEsol structure; values from VASP
! **D(E_F)**: 0.1 states/eV/cell
! **Formation energy (no corrections)**: -2.04 eV per formula unit
! **ρ**: 3780 kg/m3
! **SG**: P4/mbm
&SYSTEM
  ibrav = 0, nat = 10, ntyp = 3
/
ATOMIC_SPECIES
Rb 85.47 Rb.upf
S 32.06 S.upf
I 126.90 I.upf
CELL_PARAMETERS angstrom
8.781 0.000 0.000
0.000 8.781 0.000
0.000 0.000 4.597
ATOMIC_POSITIONS crystal
Rb 0.000 0.000 0.000
Rb 0.500 0.500 0.000
S 0.076 0.424 0.000
S 0.424 0.924 0.000
S 0.576 0.076 0.000
S 0.924 0.576 0.000
I 0.247 0.253 0.500
I 0.253 0.753 0.500
I 0.747 0.247 0.500
I 0.753 0.747 0.500



! RbSbSeI2 | Alexandria | SCAN | single point on PBEsol structure; values from VASP
! **D(E_F)**: 2.1 states/eV/cell
! **Formation energy (no corrections)**: -1.20 eV per formula unit
! **ρ**: 4595 kg/m3
! **SG**: P4/mmm
&SYSTEM
  ibrav = 0, nat = 5, ntyp = 4
/
ATOMIC_SPECIES
Rb 85.47 Rb.upf
Sb 121.76 Sb.upf
Se 78.96 Se.upf
I 126.90 I.upf
CELL_PARAMETERS angstrom
6.005 0.000 0.000
0.000 6.005 0.000
0.000 0.000 5.411
ATOMIC_POSITIONS crystal
Rb 0.000 0.000 0.000
Sb 0.500 0.500 0.000
Se 0.500 0.500 0.500
I 0.000 0.500 0.500
I 0.500 0.000 0.500



! RbTaSb2I | Alexandria | SCAN | single point on PBEsol structure; values from VASP
! **Relative energy among the computed polymorphs**: 0 kJ/mol of formula units
! **D(E_F)**: 2.1 states/eV/cell
! **Formation energy (no corrections)**: -0.61 eV per formula unit
! **ρ**: 6293 kg/m3
! **SG**: P4/mmm
&SYSTEM
  ibrav = 0, nat = 5, ntyp = 4
/
ATOMIC_SPECIES
Rb 85.47 Rb.upf
Ta 180.95 Ta.upf
Sb 121.76 Sb.upf
I 126.90 I.upf
CELL_PARAMETERS angstrom
5.305 0.000 0.000
0.000 5.305 0.000
0.000 0.000 5.970
ATOMIC_POSITIONS crystal
Rb 0.000 0.000 0.000
Ta 0.500 0.500 0.500
Sb 0.000 0.500 0.500
Sb 0.500 0.000 0.500
I 0.500 0.500 0.000



! RbTaSb2I | Alexandria | SCAN | single point on PBEsol structure; values from VASP
! **Relative energy among the computed polymorphs**: 1074 kJ/mol of formula units
! **D(E_F)**: 4.6 states/eV/cell
! **Formation energy (no corrections)**: 10.52 eV per formula unit
! **ρ**: 5465 kg/m3
! **SG**: P4/mmm
&SYSTEM
  ibrav = 0, nat = 5, ntyp = 4
/
ATOMIC_SPECIES
Rb 85.47 Rb.upf
Ta 180.95 Ta.upf
Sb 121.76 Sb.upf
I 126.90 I.upf
CELL_PARAMETERS angstrom
5.715 0.000 0.000
0.000 5.715 0.000
0.000 0.000 5.925
ATOMIC_POSITIONS crystal
Rb 0.000 0.000 0.000
Ta 0.500 0.500 0.500
Sb 0.000 0.500 0.000
Sb 0.500 0.000 0.000
I 0.000 0.000 0.500



! RbSbTeI2 | Alexandria | SCAN | single point on PBEsol structure; values from VASP
! **D(E_F)**: 0.6 states/eV/cell
! **Formation energy (no corrections)**: -3.00 eV per formula unit
! **ρ**: 4616 kg/m3
! **SG**: P4/mmm
&SYSTEM
  ibrav = 0, nat = 5, ntyp = 4
/
ATOMIC_SPECIES
Rb 85.47 Rb.upf
Sb 121.76 Sb.upf
Te 127.60 Te.upf
I 126.90 I.upf
CELL_PARAMETERS angstrom
6.093 0.000 0.000
0.000 6.093 0.000
0.000 0.000 5.703
ATOMIC_POSITIONS crystal
Rb 0.000 0.000 0.000
Sb 0.500 0.500 0.500
Te 0.500 0.500 0.000
I 0.000 0.500 0.500
I 0.500 0.000 0.500



! RbSb2WI | Alexandria | SCAN | single point on PBEsol structure; values from VASP
! **D(E_F)**: 2.2 states/eV/cell
! **Formation energy (no corrections)**: 0.66 eV per formula unit
! **ρ**: 6449 kg/m3
! **SG**: P4/mmm
&SYSTEM
  ibrav = 0, nat = 5, ntyp = 4
/
ATOMIC_SPECIES
Rb 85.47 Rb.upf
Sb 121.76 Sb.upf
W 183.84 W.upf
I 126.90 I.upf
CELL_PARAMETERS angstrom
5.172 0.000 0.000
0.000 5.172 0.000
0.000 0.000 6.158
ATOMIC_POSITIONS crystal
Rb 0.000 0.000 0.000
Sb 0.000 0.500 0.500
Sb 0.500 0.000 0.500
W 0.500 0.500 0.500
I 0.500 0.500 0.000



! RbYSbI2 | Alexandria | SCAN | single point on PBEsol structure; values from VASP
! **D(E_F)**: 1.3 states/eV/cell
! **Formation energy (no corrections)**: 1.54 eV per formula unit
! **ρ**: 4163 kg/m3
! **SG**: P4/mmm
&SYSTEM
  ibrav = 0, nat = 5, ntyp = 4
/
ATOMIC_SPECIES
Rb 85.47 Rb.upf
Y 88.91 Y.upf
Sb 121.76 Sb.upf
I 126.90 I.upf
CELL_PARAMETERS angstrom
6.015 0.000 0.000
0.000 6.015 0.000
0.000 0.000 6.064
ATOMIC_POSITIONS crystal
Rb 0.000 0.000 0.000
Y 0.500 0.500 0.500
Sb 0.000 0.000 0.500
I 0.000 0.500 0.000
I 0.500 0.000 0.000



! RbScI2 | Alexandria | SCAN | single point on PBEsol structure; values from VASP
! **D(E_F)**: 1.8 states/eV/cell
! **Formation energy (no corrections)**: -2.95 eV per formula unit
! **ρ**: 5082 kg/m3
! **SG**: Fm-3m
&SYSTEM
  ibrav = 0, nat = 4, ntyp = 3
/
ATOMIC_SPECIES
Rb 85.47 Rb.upf
Sc 44.96 Sc.upf
I 126.90 I.upf
CELL_PARAMETERS angstrom
0.000 3.974 3.974
3.974 0.000 3.974
3.974 3.974 0.000
ATOMIC_POSITIONS crystal
Rb 0.000 0.000 0.000
Sc 0.500 0.500 0.500
I 0.250 0.250 0.250
I 0.750 0.750 0.750



! RbSc2I | Alexandria | SCAN | single point on PBEsol structure; values from VASP
! **D(E_F)**: 3.4 states/eV/cell
! **Formation energy (no corrections)**: 0.71 eV per formula unit
! **ρ**: 4012 kg/m3
! **SG**: R-3m
&SYSTEM
  ibrav = 0, nat = 4, ntyp = 3
/
ATOMIC_SPECIES
Rb 85.47 Rb.upf
Sc 44.96 Sc.upf
I 126.90 I.upf
CELL_PARAMETERS angstrom
1.780 1.028 11.394
-1.780 1.028 11.394
0.000 -2.056 11.394
ATOMIC_POSITIONS crystal
Rb 0.000 0.000 0.000
Sc 0.101 0.101 0.101
Sc 0.899 0.899 0.899
I 0.500 0.500 0.500



! Rb3ScI6 | Alexandria | SCAN | single point on PBEsol structure; values from VASP
! **D(E_F)**: 0.0 states/eV/cell
! **Formation energy (no corrections)**: -14.84 eV per formula unit
! **ρ**: 3692 kg/m3
! **SG**: Fm-3m
&SYSTEM
  ibrav = 0, nat = 10, ntyp = 3
/
ATOMIC_SPECIES
Rb 85.47 Rb.upf
Sc 44.96 Sc.upf
I 126.90 I.upf
CELL_PARAMETERS angstrom
0.000 6.206 6.206
6.206 0.000 6.206
6.206 6.206 0.000
ATOMIC_POSITIONS crystal
Rb 0.000 0.000 0.000
Rb 0.250 0.250 0.250
Rb 0.750 0.750 0.750
Sc 0.500 0.500 0.500
I 0.271 0.271 0.729
I 0.271 0.729 0.271
I 0.271 0.729 0.729
I 0.729 0.271 0.271
I 0.729 0.271 0.729
I 0.729 0.729 0.271



! RbSe2I | Alexandria | SCAN | single point on PBEsol structure; values from VASP
! **D(E_F)**: 2.9 states/eV/cell
! **Formation energy (no corrections)**: -0.30 eV per formula unit
! **ρ**: 4577 kg/m3
! **SG**: R-3m
&SYSTEM
  ibrav = 0, nat = 4, ntyp = 3
/
ATOMIC_SPECIES
Rb 85.47 Rb.upf
Se 78.96 Se.upf
I 126.90 I.upf
CELL_PARAMETERS angstrom
1.954 1.128 10.156
-1.954 1.128 10.156
0.000 -2.256 10.156
ATOMIC_POSITIONS crystal
Rb 0.000 0.000 0.000
Se 0.414 0.414 0.414
Se 0.586 0.586 0.586
I 0.500 0.500 0.500



! Rb2Se2I | Alexandria | SCAN | single point on PBEsol structure; values from VASP
! **D(E_F)**: 0.9 states/eV/cell
! **Formation energy (no corrections)**: -5.17 eV per formula unit
! **ρ**: 4579 kg/m3
! **SG**: I4/mmm
&SYSTEM
  ibrav = 0, nat = 5, ntyp = 3
/
ATOMIC_SPECIES
Rb 85.47 Rb.upf
Se 78.96 Se.upf
I 126.90 I.upf
CELL_PARAMETERS angstrom
-2.034 2.034 9.985
2.034 -2.034 9.985
2.034 2.034 -9.985
ATOMIC_POSITIONS crystal
Rb 0.111 0.111 0.000
Rb 0.889 0.889 0.000
Se 0.250 0.750 0.500
Se 0.750 0.250 0.500
I 0.500 0.500 0.000



! Rb3SeI | Alexandria | SCAN | single point on PBEsol structure; values from VASP
! **D(E_F)**: 0.0 states/eV/cell
! **Formation energy (no corrections)**: -6.35 eV per formula unit
! **ρ**: 2893 kg/m3
! **SG**: Pm-3m
&SYSTEM
  ibrav = 0, nat = 5, ntyp = 3
/
ATOMIC_SPECIES
Rb 85.47 Rb.upf
Se 78.96 Se.upf
I 126.90 I.upf
CELL_PARAMETERS angstrom
6.426 0.000 0.000
0.000 6.426 0.000
0.000 0.000 6.426
ATOMIC_POSITIONS crystal
Rb 0.000 0.000 0.500
Rb 0.000 0.500 0.000
Rb 0.500 0.000 0.000
Se 0.000 0.000 0.000
I 0.500 0.500 0.500



! RbTeSeI2 | Alexandria | SCAN | single point on PBEsol structure; values from VASP
! **D(E_F)**: 6.6 states/eV/cell
! **Formation energy (no corrections)**: 2.78 eV per formula unit
! **ρ**: 3078 kg/m3
! **SG**: P4/mmm
&SYSTEM
  ibrav = 0, nat = 5, ntyp = 4
/
ATOMIC_SPECIES
Rb 85.47 Rb.upf
Te 127.60 Te.upf
Se 78.96 Se.upf
I 126.90 I.upf
CELL_PARAMETERS angstrom
6.647 0.000 0.000
0.000 6.647 0.000
0.000 0.000 6.664
ATOMIC_POSITIONS crystal
Rb 0.000 0.000 0.000
Te 0.000 0.000 0.500
Se 0.500 0.500 0.500
I 0.000 0.500 0.000
I 0.500 0.000 0.000



! RbSiTeI2 | Alexandria | SCAN | single point on PBEsol structure; values from VASP
! **D(E_F)**: 5.4 states/eV/cell
! **Formation energy (no corrections)**: 4.14 eV per formula unit
! **ρ**: 3144 kg/m3
! **SG**: P4/mmm
&SYSTEM
  ibrav = 0, nat = 5, ntyp = 4
/
ATOMIC_SPECIES
Rb 85.47 Rb.upf
Si 28.09 Si.upf
Te 127.60 Te.upf
I 126.90 I.upf
CELL_PARAMETERS angstrom
6.404 0.000 0.000
0.000 6.404 0.000
0.000 0.000 6.374
ATOMIC_POSITIONS crystal
Rb 0.000 0.000 0.000
Si 0.500 0.500 0.500
Te 0.000 0.000 0.500
I 0.000 0.500 0.000
I 0.500 0.000 0.000



! RbSnI3 | Alexandria | SCAN | single point on PBEsol structure; values from VASP
! **D(E_F)**: 0.0 states/eV/cell
! **Formation energy (no corrections)**: -4.77 eV per formula unit
! **ρ**: 4788 kg/m3
! **SG**: Pnma
&SYSTEM
  ibrav = 0, nat = 20, ntyp = 3
/
ATOMIC_SPECIES
Rb 85.47 Rb.upf
Sn 118.71 Sn.upf
I 126.90 I.upf
CELL_PARAMETERS angstrom
10.231 0.000 0.000
0.000 4.638 0.000
0.000 0.000 17.099
ATOMIC_POSITIONS crystal
Rb 0.078 0.250 0.173
Rb 0.422 0.750 0.673
Rb 0.578 0.250 0.327
Rb 0.922 0.750 0.827
Sn 0.161 0.750 0.440
Sn 0.339 0.250 0.940
Sn 0.661 0.750 0.060
Sn 0.839 0.250 0.560
I 0.030 0.750 0.617
I 0.158 0.750 0.004
I 0.203 0.250 0.784
I 0.297 0.750 0.284
I 0.342 0.250 0.504
I 0.470 0.250 0.117
I 0.530 0.750 0.883
I 0.658 0.750 0.496
I 0.703 0.250 0.716
I 0.797 0.750 0.216
I 0.842 0.250 0.996
I 0.970 0.250 0.383



! RbTaTe2I | Alexandria | SCAN | single point on PBEsol structure; values from VASP
! **D(E_F)**: 6.8 states/eV/cell
! **Formation energy (no corrections)**: 8.71 eV per formula unit
! **ρ**: 5132 kg/m3
! **SG**: P4/mmm
&SYSTEM
  ibrav = 0, nat = 5, ntyp = 4
/
ATOMIC_SPECIES
Rb 85.47 Rb.upf
Ta 180.95 Ta.upf
Te 127.60 Te.upf
I 126.90 I.upf
CELL_PARAMETERS angstrom
5.887 0.000 0.000
0.000 5.887 0.000
0.000 0.000 6.054
ATOMIC_POSITIONS crystal
Rb 0.000 0.000 0.000
Ta 0.500 0.500 0.500
Te 0.000 0.500 0.000
Te 0.500 0.000 0.000
I 0.000 0.000 0.500



! RbTaTeI2 | Alexandria | SCAN | single point on PBEsol structure; values from VASP
! **D(E_F)**: 4.2 states/eV/cell
! **Formation energy (no corrections)**: 7.04 eV per formula unit
! **ρ**: 4571 kg/m3
! **SG**: P4/mmm
&SYSTEM
  ibrav = 0, nat = 5, ntyp = 4
/
ATOMIC_SPECIES
Rb 85.47 Rb.upf
Ta 180.95 Ta.upf
Te 127.60 Te.upf
I 126.90 I.upf
CELL_PARAMETERS angstrom
6.199 0.000 0.000
0.000 6.199 0.000
0.000 0.000 6.123
ATOMIC_POSITIONS crystal
Rb 0.000 0.000 0.000
Ta 0.500 0.500 0.500
Te 0.000 0.000 0.500
I 0.000 0.500 0.000
I 0.500 0.000 0.000



! RbTc2I2 | Alexandria | SCAN | single point on PBEsol structure; values from VASP
! **D(E_F)**: 2.8 states/eV/cell
! **Formation energy (no corrections)**: 2.00 eV per formula unit
! **ρ**: 6899 kg/m3
! **SG**: I4/mmm
&SYSTEM
  ibrav = 0, nat = 5, ntyp = 3
/
ATOMIC_SPECIES
Rb 85.47 Rb.upf
Tc 98.00 Tc.upf
I 126.90 I.upf
CELL_PARAMETERS angstrom
-2.177 2.177 6.796
2.177 -2.177 6.796
2.177 2.177 -6.796
ATOMIC_POSITIONS crystal
Rb 0.000 0.000 0.000
Tc 0.250 0.750 0.500
Tc 0.750 0.250 0.500
I 0.352 0.352 0.000
I 0.648 0.648 0.000



! Rb2TcI6 | Alexandria | SCAN | single point on PBEsol structure; values from VASP
! **Formation energy (no corrections)**: -7.74 eV per formula unit
! **ρ**: 4905 kg/m3
! **SG**: Fm-3m
&SYSTEM
  ibrav = 0, nat = 9, ntyp = 3
/
ATOMIC_SPECIES
Rb 85.47 Rb.upf
Tc 98.00 Tc.upf
I 126.90 I.upf
CELL_PARAMETERS angstrom
0.000 5.587 5.587
5.587 0.000 5.587
5.587 5.587 0.000
ATOMIC_POSITIONS crystal
Rb 0.250 0.250 0.250
Rb 0.750 0.750 0.750
Tc 0.000 0.000 0.000
I 0.243 0.243 0.757
I 0.243 0.757 0.243
I 0.243 0.757 0.757
I 0.757 0.243 0.243
I 0.757 0.243 0.757
I 0.757 0.757 0.243